Material: InBiAsSe2
Method: DFT, PBE
State: relaxed

Lattice parameters (Å, degrees): 5.241 5.241 5.199 90.00 90.00 90.00
Space group P4/mmm (No. 123)
Asymmetric unit:
In 0.000 0.000 0.000 (multiplicity 1)
Bi 0.500 0.500 0.500 (multiplicity 1)
As 0.000 0.000 0.500 (multiplicity 1)
Se 0.000 0.500 0.000 (multiplicity 2)

Values from the calculation:
* formation energy (no corrections): 430 meV per atom
* energy above the lowest structure with this stoichiometry: 0.000 eV per atom
* uncorrected energy: -3.22 eV per atom
* DOS at the Fermi energy: 0.6361 states/eV per atom
* magnetization: 0.00 μB/cell
* V: 142.82 Å³ per cell